A relaxed structure of BaH2BrN, computed with PBE.

extended XYZ file:
```
5
Lattice="5.1020 0.0000 0.0000 0.0000 5.1020 0.0000 0.0000 0.0000 6.2816" Properties=species:S:1:pos:R:3 pbc="T T T"
Ba 0.0000 0.0000 0.0000
H 0.0000 2.5510 0.0000
H 2.5510 0.0000 0.0000
Br 0.0000 0.0000 3.1408
N 2.5510 2.5510 3.1408
```

Calculated values
Volume (A^3/atom): 32.7
DOS at the Fermi energy (states/eV per atom): 0.285
Electronic total energy (eV per atom): -2.89